Model A:
BaTc3Mo PBE optimized geometry; magnetic moment = 2.57 μB/cell; SG = Pm-3m (221)
1.0
4.862 0.000 0.000
0.000 4.862 0.000
0.000 0.000 4.862
Ba Tc Mo
1 3 1
Direct
0.000 0.000 0.000
0.000 0.500 0.500
0.500 0.000 0.500
0.500 0.500 0.000
0.500 0.500 0.500

---

Model B:
BaTc3Mo PBE optimized geometry; magnetic moment = 0.00 μB/cell; SG = Pm-3m (221)
1.0
4.830 0.000 0.000
0.000 4.830 0.000
0.000 0.000 4.830
Ba Tc Mo
1 3 1
Direct
0.000 0.000 0.000
0.000 0.000 0.500
0.000 0.500 0.000
0.500 0.000 0.000
0.500 0.500 0.500

---

Name the most stable of them. model A.